#a
Here is Cd2IrRu at its PBEsol-relaxed geometry from Alexandria via LeMat-Bulk. Energies are from meta-GGA SCAN.

calculated density: 13.37 g cm⁻³

Unit cell a=5.560 b=9.336 c=2.766 alpha=90.00 beta=116.36 gamma=90.00
Space group C2/m (No. 12)
Asymmetric unit:
Cd1 0.250 0.250 0.000 x4
Ir1 0.000 0.000 0.500 x2
Ru1 0.000 0.500 0.500 x2

=====

#b
Here is Cd2IrRu at its PBEsol-relaxed geometry from Alexandria via LeMat-Bulk. Energies are from meta-GGA SCAN.

calculated density: 13.33 g cm⁻³

Unit cell a=2.926 b=4.722 c=9.343 alpha=90.00 beta=90.00 gamma=90.00
Space group Cmmm (No. 65)
Asymmetric unit:
Cd1 0.000 0.000 0.249 x4
Ir1 0.000 0.500 0.500 x2
Ru1 0.000 0.500 0.000 x2

=====

Name the most stable of them. #a.

=====

#a
Here is CdIr2Se at its PBEsol-relaxed geometry from Alexandria via LeMat-Bulk. Energies are from meta-GGA SCAN.

calculated density: 15.02 g cm⁻³

Unit cell a=4.559 b=4.559 c=3.064 alpha=90.00 beta=90.00 gamma=90.00
Space group P4/mmm (No. 123)
Asymmetric unit:
Cd1 0.000 0.000 0.000 x1
Ir1 0.000 0.500 0.500 x2
Se1 0.500 0.500 0.000 x1

=====

#b
Here is CdIr2Se at its PBEsol-relaxed geometry from Alexandria via LeMat-Bulk. Energies are from meta-GGA SCAN.

calculated density: 13.72 g cm⁻³

Unit cell a=7.096 b=7.096 c=5.537 alpha=90.00 beta=90.00 gamma=90.00
Space group I-42d (No. 122)
Asymmetric unit:
Cd1 0.000 0.000 0.000 x4
Ir1 0.198 0.750 0.625 x8
Se1 0.000 0.000 0.500 x4

=====

Name the most stable of them. #b.